Density functional theory data (PBE) for Er2ThNi6 after structural relaxation. Values from VASP.

For the calculated formation energy, the calculation gives -0.415 eV/atom. The calculation puts the energy above the most stable polymorph in this dataset at 0 meV per atom.

Quantum ESPRESSO input file:
```
&SYSTEM
  ibrav = 0, nat = 9, ntyp = 3
/
ATOMIC_SPECIES
Ni 58.69 Ni.upf
Th 232.04 Th.upf
Er 167.26 Er.upf
ATOMIC_POSITIONS angstrom
Ni 3.4418 -4.5755 -2.9822
Ni 1.8607 -2.9522 -3.6044
Ni -1.2305 -0.5164 -2.6580
Th 4.7257 -4.8521 1.8597
Ni 0.2430 -0.5449 -6.4279
Ni 0.3506 -2.1397 -2.0359
Ni 1.9683 -4.5470 0.7877
Er -0.8853 -2.6560 -4.6800
Er 3.0966 -2.4359 -0.9603
CELL_PARAMETERS angstrom
-2.3528 -2.6364 -0.8997
-0.1616 2.3966 -6.6003
4.7257 -4.8521 1.8597
```